TbCuHg: relaxed, PBE.

Computed properties:
- Formation enthalpy at 0 K: -0.3162 eV per atom
- N(E_F): 1.976 states/eV per cell
- Space group: P-6m2, No. 187

```
TbCuHg
1.0
4.642 0.000 0.000
-2.321 4.020 0.000
0.000 0.000 3.440
Tb Cu Hg
1 1 1
Cartesian
0.000 0.000 0.000
0.000 2.680 1.720
2.321 1.340 1.720
```